Record 1
First-principles (PBE) data for NaBTe after structural relaxation, as listed in Alexandria via LeMat-Bulk.

## Properties
- spin magnetization (μB per cell) = 0.00
- ΔE_f (raw) (kcal/mol of atoms) = 1.68
- final energy (eV per atom) = -3.6399
- crystal system = monoclinic

Structure (extended XYZ):
```
6
Lattice="-3.074 -5.439 0.180 4.248 1.267 2.330 -2.804 1.776 5.768" Properties=species:S:1:pos:R:3 pbc="T T T"
Te 1.057 -0.507 2.741
Te -2.687 -1.889 5.537
B -0.879 -2.911 5.548
B -0.750 0.515 2.730
Na -1.114 -2.869 2.787
Na -0.516 0.473 5.492
```

=====

Record 2
First-principles (PBE) data for Na3BTe after structural relaxation, as listed in Alexandria via LeMat-Bulk.

## Properties
- spin magnetization (μB per cell) = 2.00
- ΔE_f (raw) (kcal/mol of atoms) = 13.35
- final energy (eV per atom) = -2.1764
- crystal system = cubic
- relative energy among the computed polymorphs (meV per atom) = 162

Structure (extended XYZ):
```
5
Lattice="-1.894 4.606 -3.028 0.038 -3.190 -4.877 -5.512 -1.605 1.007" Properties=species:S:1:pos:R:3 pbc="T T T"
Te 0.000 0.000 0.000
B -3.684 -0.095 -3.449
Na 0.019 -1.595 -2.439
Na -0.947 2.303 -1.514
Na -2.756 -0.803 0.503
```

=====

Record 3
First-principles (PBE) data for NaB3Te after structural relaxation, as listed in Alexandria via LeMat-Bulk.

## Properties
- spin magnetization (μB per cell) = 0.00
- ΔE_f (raw) (kcal/mol of atoms) = 59.69
- final energy (eV per atom) = -2.3101
- crystal system = cubic
- relative energy among the computed polymorphs (meV per atom) = 590

Structure (extended XYZ):
```
5
Lattice="4.576 0.000 0.000 0.000 4.576 0.000 0.000 0.000 4.576" Properties=species:S:1:pos:R:3 pbc="T T T"
Na 0.000 0.000 0.000
B 2.288 0.000 0.000
B 0.000 0.000 2.288
B 0.000 2.288 0.000
Te 2.288 2.288 2.288
```

=====

Record 4
First-principles (PBE) data for NaB2Te after structural relaxation, as listed in Alexandria via LeMat-Bulk.

## Properties
- spin magnetization (μB per cell) = 0.00
- ΔE_f (raw) (kcal/mol of atoms) = 28.84
- final energy (eV per atom) = -3.2031
- crystal system = tetragonal

Structure (extended XYZ):
```
8
Lattice="-3.976 -2.398 5.150 5.293 0.720 4.421 -0.207 1.874 5.380" Properties=species:S:1:pos:R:3 pbc="T T T"
Na 0.659 -0.839 4.786
Na 2.872 0.877 7.294
B 2.937 0.726 4.522
B 1.234 -0.031 12.608
B -2.053 -1.047 5.347
B 0.102 0.744 7.427
Te 0.000 0.000 0.000
Te -1.762 -0.681 7.658
```

=====

Record 5
First-principles (PBE) data for Na3BTe after structural relaxation, as listed in Alexandria via LeMat-Bulk.

## Properties
- spin magnetization (μB per cell) = 2.00
- ΔE_f (raw) (kcal/mol of atoms) = 9.60
- final energy (eV per atom) = -2.3388
- crystal system = cubic
- relative energy among the computed polymorphs (meV per atom) = 0

Structure (extended XYZ):
```
5
Lattice="-4.034 3.138 0.040 -0.492 -0.697 5.039 3.099 3.974 0.852" Properties=species:S:1:pos:R:3 pbc="T T T"
Na -0.246 -0.349 2.520
Na -2.017 1.569 0.020
Na 1.550 1.987 0.426
Te -0.713 3.207 2.966
B 0.000 0.000 0.000
```

=====

Record 6
First-principles (PBE) data for NaZr2BTe after structural relaxation, as listed in Alexandria via LeMat-Bulk.

## Properties
- spin magnetization (μB per cell) = 0.00
- ΔE_f (raw) (kcal/mol of atoms) = 27.52
- final energy (eV per atom) = -4.4537
- crystal system = tetragonal

Structure (extended XYZ):
```
5
Lattice="5.424 0.000 0.000 0.000 4.539 0.000 0.000 0.000 5.424" Properties=species:S:1:pos:R:3 pbc="T T T"
Zr 2.712 0.000 0.000
Zr 0.000 0.000 2.712
Na 2.712 2.270 2.712
Te 0.000 0.000 0.000
B 0.000 2.270 0.000
```